(1)
PSBr: relaxed, PBE-GGA.

Lattice parameters (Å, degrees): 3.263 6.985 9.297 94.61 100.09 103.50
Space group P-1 (No. 2)
Unique sites:
P1 0.207 0.247 0.168 [2 per cell]
S1 0.268 0.840 0.694 [2 per cell]
Br1 0.401 0.580 0.224 [2 per cell]

Its spin magnetization is 0.000 μB/atom. The value obtained for the total energy is -23.3 eV per cell. The crystal system is triclinic. The value obtained for the formation energy from raw total energies is -142 meV per atom.



(2)
PSBr: relaxed, PBE-GGA.

Lattice parameters (Å, degrees): 12.604 3.614 9.030 90.00 129.80 90.00
Space group C2/m (No. 12)
Unique sites:
P1 0.132 0.000 0.480 [4 per cell]
S1 0.207 0.000 0.323 [4 per cell]
Br1 0.058 0.500 0.769 [4 per cell]

Its spin magnetization is 0.000 μB/atom. The value obtained for the total energy is -46.2 eV per cell. The crystal system is monoclinic. The value obtained for the formation energy from raw total energies is -117 meV per atom.



(3)
SbP2SBr: relaxed, PBE-GGA.

Lattice parameters (Å, degrees): 4.940 4.940 4.689 90.00 90.00 90.00
Space group P4/mmm (No. 123)
Unique sites:
Sb1 0.000 0.000 0.000 [1 per cell]
P1 0.000 0.500 0.500 [2 per cell]
S1 0.500 0.500 0.000 [1 per cell]
Br1 0.500 0.500 0.500 [1 per cell]

Its spin magnetization is 0.000 μB/atom. The value obtained for the total energy is -14.6 eV per cell. The crystal system is tetragonal. The offset from the most stable computed form is 191 meV per atom. The value obtained for the formation energy from raw total energies is 1224 meV per atom.



(4)
SbPS2Br: relaxed, PBE-GGA.

Lattice parameters (Å, degrees): 4.908 4.908 5.560 90.00 90.00 90.00
Space group P4/mmm (No. 123)
Unique sites:
Sb1 0.000 0.000 0.000 [1 per cell]
P1 0.000 0.000 0.500 [1 per cell]
S1 0.000 0.500 0.000 [2 per cell]
Br1 0.500 0.500 0.500 [1 per cell]

Its spin magnetization is 0.144 μB/atom. The value obtained for the total energy is -15.4 eV per cell. The crystal system is tetragonal. The offset from the most stable computed form is 0 meV per atom. The value obtained for the formation energy from raw total energies is 821 meV per atom.



(5)
SbP2SBr: relaxed, PBE-GGA.

Lattice parameters (Å, degrees): 5.260 5.260 4.924 90.00 90.00 90.00
Space group P4/mmm (No. 123)
Unique sites:
Sb1 0.000 0.000 0.000 [1 per cell]
P1 0.000 0.500 0.000 [2 per cell]
S1 0.000 0.000 0.500 [1 per cell]
Br1 0.500 0.500 0.500 [1 per cell]

Its spin magnetization is 0.390 μB/atom. The value obtained for the total energy is -15.6 eV per cell. The crystal system is tetragonal. The offset from the most stable computed form is 0 meV per atom. The value obtained for the formation energy from raw total energies is 1033 meV per atom.



(6)
P2SeSBr: relaxed, PBE-GGA.

Lattice parameters (Å, degrees): 4.951 4.951 4.732 90.00 90.00 90.00
Space group P4/mmm (No. 123)
Unique sites:
P1 0.000 0.500 0.000 [2 per cell]
Se1 0.000 0.000 0.000 [1 per cell]
S1 0.000 0.000 0.500 [1 per cell]
Br1 0.500 0.500 0.500 [1 per cell]

Its spin magnetization is 0.104 μB/atom. The value obtained for the total energy is -14.7 eV per cell. The crystal system is tetragonal. The offset from the most stable computed form is 0 meV per atom. The value obtained for the formation energy from raw total energies is 1077 meV per atom.